Entry 1:
VH5Se2NO7: relaxed, PBE with a Hubbard U.

symmetry = P2_1/m (11)

The structure in POSCAR format:
```
VH5Se2NO7
1.0
10.712 0.000 0.000
0.000 4.055 -0.035
0.000 1.128 8.000
O H Se N V
14 10 4 2 2
direct
0.125 0.532 0.273 O
0.947 0.298 0.100 O
0.053 0.702 0.900 O
0.553 0.298 0.100 O
0.750 0.030 0.534 O
0.447 0.702 0.900 O
0.117 0.418 0.632 O
0.625 0.468 0.727 O
0.250 0.970 0.466 O
0.875 0.468 0.727 O
0.375 0.532 0.273 O
0.883 0.582 0.368 O
0.383 0.418 0.632 O
0.617 0.582 0.368 O
0.330 0.974 0.972 H
0.250 0.236 0.084 H
0.750 0.764 0.916 H
0.500 0.500 0.000 H
0.000 0.500 0.000 H
0.250 0.298 0.874 H
0.670 0.026 0.028 H
0.170 0.974 0.972 H
0.830 0.026 0.028 H
0.750 0.702 0.126 H
0.010 0.705 0.692 Se
0.490 0.705 0.692 Se
0.990 0.295 0.308 Se
0.510 0.295 0.308 Se
0.250 0.121 0.978 N
0.750 0.879 0.022 N
0.750 0.442 0.543 V
0.250 0.558 0.457 V
```


Entry 2:
VH10SeNO9: relaxed, PBE with a Hubbard U.

symmetry = P2_1 (4)

The structure in POSCAR format:
```
VH10SeNO9
1.0
-1.800 3.812 -9.176
3.958 -4.366 -2.590
-3.671 -5.697 -1.646
O H Se V N
18 20 2 2 2
direct
0.964 0.680 0.440 O
0.066 0.470 0.182 O
0.634 0.137 0.210 O
0.659 0.037 0.769 O
0.293 0.551 0.718 O
0.629 0.688 0.429 O
0.946 0.083 0.427 O
0.870 0.302 0.699 O
0.446 0.917 0.573 O
0.159 0.963 0.231 O
0.129 0.312 0.571 O
0.566 0.530 0.818 O
0.908 0.994 0.070 O
0.464 0.320 0.560 O
0.793 0.449 0.282 O
0.408 0.006 0.930 O
0.134 0.863 0.790 O
0.370 0.698 0.301 O
0.238 0.677 0.729 H
0.283 0.768 0.303 H
0.783 0.232 0.697 H
0.284 0.204 0.205 H
0.412 0.797 0.176 H
0.738 0.323 0.271 H
0.950 0.753 0.827 H
0.784 0.796 0.795 H
0.841 0.604 0.003 H
0.163 0.864 0.924 H
0.138 0.020 0.705 H
0.734 0.543 0.336 H
0.852 0.564 0.774 H
0.234 0.457 0.664 H
0.638 0.980 0.295 H
0.450 0.247 0.173 H
0.341 0.396 0.997 H
0.663 0.136 0.076 H
0.912 0.203 0.824 H
0.352 0.436 0.226 H
0.498 0.064 0.722 Se
0.998 0.936 0.278 Se
0.000 0.387 0.410 V
0.500 0.613 0.590 V
0.357 0.320 0.151 N
0.857 0.680 0.849 N
```


Here are the calculated total DFT energy (no corrections) numbers, same order: -5.617, -5.411 (eV per atom).